# 1
Below is a relaxed YCo2W crystal, with properties calculated at the PBE level.

The density of states at the Fermi level is 29.4 states/eV per cell. The value obtained for the total energy is -7.814 eV per atom. The formation enthalpy at 0 K comes out at 593 meV/atom. The mass density is 10.62 g/cm³. The calculation puts the total moment at 3.57 Bohr magnetons per cell.

a = 6.251 Å, b = 6.251 Å, c = 6.251 Å
α = 90.00°, β = 90.00°, γ = 90.00°
Space group F-43m (No. 216)
One atom of each set of equivalent atoms:
Y 0.000 0.000 0.000 x4
Co 0.000 0.000 0.500 x4
Co 0.250 0.250 0.750 x4
W 0.250 0.250 0.250 x4



# 2
Below is a relaxed Y4CoW crystal, with properties calculated at the PBE level.

The density of states at the Fermi level is 44.2 states/eV per cell. The value obtained for the total energy is -6.407 eV per atom. The formation enthalpy at 0 K comes out at 1246 meV/atom. The mass density is 6.62 g/cm³. The calculation puts the total moment at 9.45 Bohr magnetons per cell.

a = 8.437 Å, b = 8.437 Å, c = 8.437 Å
α = 90.00°, β = 90.00°, γ = 90.00°
Space group F-43m (No. 216)
One atom of each set of equivalent atoms:
Y 0.124 0.124 0.376 x16
Co 0.000 0.000 0.000 x4
W 0.250 0.250 0.750 x4



# 3
Below is a relaxed Y2CoW crystal, with properties calculated at the PBE level.

The density of states at the Fermi level is 9.0 states/eV per cell. The value obtained for the total energy is -7.673 eV per atom. The formation enthalpy at 0 K comes out at 574 meV/atom. The mass density is 8.55 g/cm³. The calculation puts the total moment at 3.27 Bohr magnetons per cell.

a = 3.659 Å, b = 4.924 Å, c = 9.067 Å
α = 90.00°, β = 90.00°, γ = 90.00°
Space group Immm (No. 71)
One atom of each set of equivalent atoms:
Y 0.000 0.000 0.212 x4
Co 0.000 0.500 0.500 x2
W 0.000 0.500 0.000 x2



# 4
Below is a relaxed YCo2W crystal, with properties calculated at the PBE level.

The density of states at the Fermi level is 10.4 states/eV per cell. The value obtained for the total energy is -8.051 eV per atom. The formation enthalpy at 0 K comes out at 356 meV/atom. The mass density is 10.45 g/cm³. The calculation puts the total moment at 0.00 Bohr magnetons per cell.

a = 2.815 Å, b = 4.469 Å, c = 9.870 Å
α = 90.00°, β = 90.00°, γ = 90.00°
Space group Imm2 (No. 44)
One atom of each set of equivalent atoms:
Y 0.000 0.000 0.000 x2
Co 0.000 0.000 0.486 x2
Co 0.000 0.500 0.774 x2
W 0.000 0.500 0.212 x2



# 5
Below is a relaxed YCo2W crystal, with properties calculated at the PBE level.

The density of states at the Fermi level is 16.3 states/eV per cell. The value obtained for the total energy is -8.122 eV per atom. The formation enthalpy at 0 K comes out at 285 meV/atom. The mass density is 10.18 g/cm³. The calculation puts the total moment at 12.03 Bohr magnetons per cell.

a = 6.340 Å, b = 6.340 Å, c = 6.340 Å
α = 90.00°, β = 90.00°, γ = 90.00°
Space group Fm-3m (No. 225)
One atom of each set of equivalent atoms:
Y 0.000 0.000 0.000 x4
Co 0.250 0.250 0.250 x8
W 0.000 0.000 0.500 x4



# 6
Below is a relaxed Y2CoW crystal, with properties calculated at the PBE level.

The density of states at the Fermi level is 20.4 states/eV per cell. The value obtained for the total energy is -7.601 eV per atom. The formation enthalpy at 0 K comes out at 646 meV/atom. The mass density is 8.88 g/cm³. The calculation puts the total moment at 6.62 Bohr magnetons per cell.

a = 6.802 Å, b = 6.802 Å, c = 6.802 Å
α = 90.00°, β = 90.00°, γ = 90.00°
Space group F-43m (No. 216)
One atom of each set of equivalent atoms:
Y 0.000 0.000 0.000 x4
Y 0.250 0.250 0.250 x4
Co 0.250 0.250 0.750 x4
W 0.000 0.000 0.500 x4



Please write out number 5 again, unchanged.
Below is a relaxed YCo2W crystal, with properties calculated at the PBE level.

The density of states at the Fermi level is 16.3 states/eV per cell. The value obtained for the total energy is -8.122 eV per atom. The formation enthalpy at 0 K comes out at 285 meV/atom. The mass density is 10.18 g/cm³. The calculation puts the total moment at 12.03 Bohr magnetons per cell.

a = 6.340 Å, b = 6.340 Å, c = 6.340 Å
α = 90.00°, β = 90.00°, γ = 90.00°
Space group Fm-3m (No. 225)
One atom of each set of equivalent atoms:
Y 0.000 0.000 0.000 x4
Co 0.250 0.250 0.250 x8
W 0.000 0.000 0.500 x4



Which value of mass density does entry 3 give? 8.55 g/cm³



Which formula does entry 5 have? YCo2W